1.
Below is an optimized crystal structure of LuPuIn2, with properties calculated at the GGA-PBE level.

Output
- Energy: -6.33 eV per atom
- Space-group type: Fm-3m
- Offset from the most stable computed form: 0.035 eV/atom

Lattice parameters (Å, degrees): 5.2982 5.2982 5.2982 60.00 60.00 60.00
Fractional coordinates of all 4 atoms:
Lu 0.0000 0.0000 0.0000
Pu 0.5000 0.5000 0.5000
In 0.2500 0.2500 0.2500
In 0.7500 0.7500 0.7500


2.
Below is an optimized crystal structure of Cr2Sb2S, with properties calculated at the GGA-PBE level.

Output
- Energy: -5.60 eV per atom
- Formation energy (no corrections): 0.72 eV/atom
- Space-group type: I4/mmm
- Offset from the most stable computed form: 0.523 eV/atom

Lattice parameters (Å, degrees): 6.1886 6.1886 6.1886 139.22 139.22 59.04
Fractional coordinates of all 5 atoms:
Cr 0.0856 0.0856 0.0000
Cr 0.9144 0.9144 0.0000
Sb 0.2500 0.7500 0.5000
Sb 0.7500 0.2500 0.5000
S 0.5000 0.5000 0.0000


3.
Below is an optimized crystal structure of Cs2Er2MnS6, with properties calculated at the GGA-PBE level.

Output
- Energy: -5.50 eV per atom
- Formation energy (no corrections): -1.43 eV/atom
- Space-group type: C2/m

Lattice parameters (Å, degrees): 6.6274 6.6274 8.5345 98.14 98.14 119.40
Fractional coordinates of all 11 atoms:
Cs 0.1715 0.8285 0.0000
Cs 0.8285 0.1715 0.0000
Er 0.3326 0.6674 0.5000
Er 0.6674 0.3326 0.5000
Mn 0.0000 0.0000 0.5000
S 0.0632 0.3625 0.6714
S 0.2381 0.2381 0.3317
S 0.3625 0.0632 0.6714
S 0.6375 0.9368 0.3286
S 0.7619 0.7619 0.6683
S 0.9368 0.6375 0.3286


4.
Below is an optimized crystal structure of CaTl2Au, with properties calculated at the GGA-PBE level.

Output
- Energy: -2.85 eV per atom
- Space-group type: Pm

Lattice parameters (Å, degrees): 3.8894 4.3533 6.8296 90.00 106.08 90.00
Fractional coordinates of all 4 atoms:
Ca 0.0000 0.0000 0.0000
Tl 0.2692 0.0000 0.5432
Tl 0.6568 0.5000 0.3158
Au 0.4277 0.5000 0.8517